Computed, not measured: a relaxed Ca5AlGa4 crystal at the PBE level of DFT.

Lattice parameters (Å, degrees): 3.713 3.713 18.080 90.00 90.00 90.00
Fractional coordinates of all 10 atoms:
Ca 0.000 0.000 0.000
Ca 0.000 0.000 0.199
Ca 0.000 0.000 0.398
Ca 0.000 0.000 0.602
Ca 0.000 0.000 0.801
Al 0.500 0.500 0.500
Ga 0.500 0.500 0.099
Ga 0.500 0.500 0.300
Ga 0.500 0.500 0.700
Ga 0.500 0.500 0.901

Values from the calculation:
* E: -29.73 eV/cell
* calculated density: 3.4 g/cm3
* total moment: 0.00 μB per formula unit
* energy of formation: -37 kJ per mole of atoms

***

Computed, not measured: a relaxed Ca2AlGa crystal at the PBE level of DFT.

Lattice parameters (Å, degrees): 5.166 5.166 3.777 90.00 90.00 90.00
Fractional coordinates of all 4 atoms:
Ca 0.000 0.500 0.000
Ca 0.500 0.000 0.000
Al 0.000 0.000 0.500
Ga 0.500 0.500 0.500

Values from the calculation:
* E: -12.01 eV/cell
* distance to the lowest polymorph of the same formula: 0.052 eV/atom
* calculated density: 2.9 g/cm3
* total moment: 0.00 μB per formula unit
* energy of formation: -30 kJ per mole of atoms

***

Computed, not measured: a relaxed Ca3Al2Ga4 crystal at the PBE level of DFT.

Lattice parameters (Å, degrees): 5.935 5.935 8.675 106.89 106.89 44.08
Fractional coordinates of all 9 atoms:
Ca 0.000 0.000 0.000
Ca 0.367 0.367 0.314
Ca 0.633 0.633 0.686
Al 0.335 0.335 0.674
Al 0.665 0.665 0.326
Ga 0.092 0.092 0.423
Ga 0.276 0.276 0.941
Ga 0.724 0.724 0.059
Ga 0.908 0.908 0.577

Values from the calculation:
* E: -29.49 eV/cell
* calculated density: 3.7 g/cm3
* total moment: 0.00 μB per formula unit
* energy of formation: -42 kJ per mole of atoms

***

Computed, not measured: a relaxed Ca3Al3Ga crystal at the PBE level of DFT.

Lattice parameters (Å, degrees): 6.005 6.005 15.054 108.44 108.44 44.53
Fractional coordinates of all 14 atoms:
Ca 0.034 0.034 0.383
Ca 0.106 0.106 0.921
Ca 0.247 0.247 0.229
Ca 0.753 0.753 0.771
Ca 0.894 0.894 0.079
Ca 0.966 0.966 0.617
Al 0.365 0.365 0.462
Al 0.398 0.398 0.923
Al 0.457 0.457 0.766
Al 0.543 0.543 0.234
Al 0.602 0.602 0.077
Al 0.635 0.635 0.538
Ga 0.257 0.257 0.607
Ga 0.743 0.743 0.393

Values from the calculation:
* E: -44.79 eV/cell
* calculated density: 2.5 g/cm3
* total moment: 0.00 μB per formula unit
* energy of formation: -29 kJ per mole of atoms

***

Computed, not measured: a relaxed CaAlGa4 crystal at the PBE level of DFT.

Lattice parameters (Å, degrees): 4.560 4.560 6.488 90.00 90.00 120.00
Fractional coordinates of all 6 atoms:
Ca 0.000 0.000 0.000
Al 0.000 0.000 0.500
Ga 0.333 0.667 0.284
Ga 0.333 0.667 0.716
Ga 0.667 0.333 0.284
Ga 0.667 0.333 0.716

Values from the calculation:
* E: -19.25 eV/cell
* calculated density: 4.9 g/cm3
* total moment: 0.00 μB per formula unit
* energy of formation: -23 kJ per mole of atoms

***

Computed, not measured: a relaxed CaAl3Ga2 crystal at the PBE level of DFT.

Lattice parameters (Å, degrees): 8.166 8.166 4.265 105.08 105.08 62.45
Fractional coordinates of all 12 atoms:
Ca 0.135 0.135 0.135
Ca 0.865 0.865 0.865
Al 0.098 0.538 0.318
Al 0.340 0.660 0.000
Al 0.462 0.902 0.682
Al 0.538 0.098 0.318
Al 0.660 0.340 0.000
Al 0.902 0.462 0.682
Ga 0.160 0.840 0.500
Ga 0.311 0.311 0.811
Ga 0.689 0.689 0.189
Ga 0.840 0.160 0.500

Values from the calculation:
* E: -40.57 eV/cell
* calculated density: 3.6 g/cm3
* total moment: 0.00 μB per formula unit
* energy of formation: -16 kJ per mole of atoms

***

Computed, not measured: a relaxed Ca3Al2Ga7 crystal at the PBE level of DFT.

Lattice parameters (Å, degrees): 5.528 3.944 12.140 90.00 98.54 90.00
Fractional coordinates of all 12 atoms:
Ca 0.000 0.000 0.000
Ca 0.339 0.000 0.620
Ca 0.661 0.000 0.380
Al 0.351 0.500 0.191
Al 0.649 0.500 0.809
Ga 0.122 0.000 0.270
Ga 0.171 0.500 0.803
Ga 0.173 0.500 0.420
Ga 0.500 0.500 0.000
Ga 0.827 0.500 0.580
Ga 0.829 0.500 0.197
Ga 0.878 0.000 0.730

Values from the calculation:
* E: -38.29 eV/cell
* calculated density: 4.2 g/cm3
* total moment: 0.00 μB per formula unit
* energy of formation: -29 kJ per mole of atoms

***

Computed, not measured: a relaxed Ca8AlGa2 crystal at the PBE level of DFT.

Lattice parameters (Å, degrees): 9.623 9.623 7.500 110.05 110.05 32.21
Fractional coordinates of all 11 atoms:
Ca 0.029 0.029 0.285
Ca 0.196 0.196 0.800
Ca 0.330 0.330 0.542
Ca 0.401 0.401 0.045
Ca 0.599 0.599 0.955
Ca 0.670 0.670 0.458
Ca 0.804 0.804 0.200
Ca 0.971 0.971 0.715
Al 0.500 0.500 0.500
Ga 0.179 0.179 0.192
Ga 0.821 0.821 0.808

Values from the calculation:
* E: -28.53 eV/cell
* distance to the lowest polymorph of the same formula: 0.000 eV/atom
* calculated density: 2.3 g/cm3
* total moment: 0.00 μB per formula unit
* energy of formation: -24 kJ per mole of atoms

***

Computed, not measured: a relaxed CaAl3Ga crystal at the PBE level of DFT.

Lattice parameters (Å, degrees): 4.984 4.984 4.984 90.00 90.00 90.00
Fractional coordinates of all 5 atoms:
Ca 0.000 0.000 0.000
Al 0.000 0.500 0.500
Al 0.500 0.000 0.500
Al 0.500 0.500 0.000
Ga 0.500 0.500 0.500

Values from the calculation:
* E: -14.90 eV/cell
* distance to the lowest polymorph of the same formula: 0.549 eV/atom
* calculated density: 2.6 g/cm3
* total moment: 0.00 μB per formula unit
* energy of formation: 26 kJ per mole of atoms

***

Computed, not measured: a relaxed CaAlGa3 crystal at the PBE level of DFT.

Lattice parameters (Å, degrees): 9.962 9.962 9.962 37.55 37.55 37.55
Fractional coordinates of all 15 atoms:
Ca 0.000 0.000 0.000
Ca 0.231 0.231 0.231
Ca 0.769 0.769 0.769
Al 0.400 0.400 0.400
Al 0.500 0.500 0.500
Al 0.600 0.600 0.600
Ga 0.000 0.500 0.500
Ga 0.150 0.753 0.753
Ga 0.247 0.247 0.850
Ga 0.247 0.850 0.247
Ga 0.500 0.000 0.500
Ga 0.500 0.500 0.000
Ga 0.753 0.150 0.753
Ga 0.753 0.753 0.150
Ga 0.850 0.247 0.247

Values from the calculation:
* E: -46.88 eV/cell
* distance to the lowest polymorph of the same formula: 0.165 eV/atom
* calculated density: 4.2 g/cm3
* total moment: 0.00 μB per formula unit
* energy of formation: -16 kJ per mole of atoms

***

Computed, not measured: a relaxed Ca3Al6Ga5 crystal at the PBE level of DFT.

Lattice parameters (Å, degrees): 4.211 12.824 10.602 90.00 90.00 90.00
Fractional coordinates of all 28 atoms:
Ca 0.250 0.075 0.248
Ca 0.250 0.425 0.248
Ca 0.250 0.750 0.255
Ca 0.750 0.250 0.745
Ca 0.750 0.575 0.752
Ca 0.750 0.925 0.752
Al 0.250 0.080 0.617
Al 0.250 0.250 0.012
Al 0.250 0.250 0.470
Al 0.250 0.420 0.617
Al 0.250 0.592 0.992
Al 0.250 0.908 0.992
Al 0.750 0.092 0.008
Al 0.750 0.408 0.008
Al 0.750 0.580 0.383
Al 0.750 0.750 0.530
Al 0.750 0.750 0.988
Al 0.750 0.920 0.383
Ga 0.250 0.086 0.859
Ga 0.250 0.414 0.859
Ga 0.250 0.615 0.530
Ga 0.250 0.750 0.815
Ga 0.250 0.885 0.530
Ga 0.750 0.115 0.470
Ga 0.750 0.250 0.185
Ga 0.750 0.385 0.470
Ga 0.750 0.586 0.141
Ga 0.750 0.914 0.141

Values from the calculation:
* E: -95.74 eV/cell
* calculated density: 3.7 g/cm3
* total moment: 0.00 μB per formula unit
* energy of formation: -29 kJ per mole of atoms

***

Computed, not measured: a relaxed CaAlGa4 crystal at the PBE level of DFT.

Lattice parameters (Å, degrees): 8.392 15.815 3.785 90.00 90.00 90.00
Fractional coordinates of all 24 atoms:
Ca 0.131 0.148 0.000
Ca 0.369 0.648 0.000
Ca 0.631 0.352 0.000
Ca 0.869 0.852 0.000
Al 0.125 0.418 0.000
Al 0.375 0.918 0.000
Al 0.625 0.082 0.000
Al 0.875 0.582 0.000
Ga 0.016 0.697 0.500
Ga 0.119 0.550 0.500
Ga 0.131 0.966 0.500
Ga 0.214 0.813 0.500
Ga 0.286 0.313 0.500
Ga 0.369 0.466 0.500
Ga 0.381 0.050 0.500
Ga 0.484 0.197 0.500
Ga 0.516 0.803 0.500
Ga 0.619 0.950 0.500
Ga 0.631 0.534 0.500
Ga 0.714 0.687 0.500
Ga 0.786 0.187 0.500
Ga 0.869 0.034 0.500
Ga 0.881 0.450 0.500
Ga 0.984 0.303 0.500

Values from the calculation:
* E: -75.61 eV/cell
* calculated density: 4.6 g/cm3
* total moment: 0.00 μB per formula unit
* energy of formation: -17 kJ per mole of atoms

***

Computed, not measured: a relaxed CaAlGa3 crystal at the PBE level of DFT.

Lattice parameters (Å, degrees): 6.244 6.244 6.244 138.99 138.99 59.38
Fractional coordinates of all 5 atoms:
Ca 0.000 0.000 0.000
Al 0.377 0.377 0.000
Ga 0.244 0.744 0.500
Ga 0.608 0.608 0.000
Ga 0.744 0.244 0.500

Values from the calculation:
* E: -16.45 eV/cell
* distance to the lowest polymorph of the same formula: 0.000 eV/atom
* calculated density: 4.4 g/cm3
* total moment: 0.00 μB per formula unit
* energy of formation: -31 kJ per mole of atoms

***

Computed, not measured: a relaxed CaAl4Ga2 crystal at the PBE level of DFT.

Lattice parameters (Å, degrees): 8.000 8.000 4.195 90.00 90.00 90.00
Fractional coordinates of all 14 atoms:
Ca 0.000 0.000 0.000
Ca 0.500 0.500 0.500
Al 0.086 0.343 0.500
Al 0.157 0.586 0.000
Al 0.343 0.086 0.500
Al 0.414 0.843 0.000
Al 0.586 0.157 0.000
Al 0.657 0.914 0.500
Al 0.843 0.414 0.000
Al 0.914 0.657 0.500
Ga 0.211 0.789 0.500
Ga 0.289 0.289 0.000
Ga 0.711 0.711 0.000
Ga 0.789 0.211 0.500

Values from the calculation:
* E: -48.94 eV/cell
* distance to the lowest polymorph of the same formula: 0.000 eV/atom
* calculated density: 3.6 g/cm3
* total moment: 0.00 μB per formula unit
* energy of formation: -20 kJ per mole of atoms

***

Computed, not measured: a relaxed Ca2AlGa6 crystal at the PBE level of DFT.

Lattice parameters (Å, degrees): 5.958 5.958 5.906 90.00 90.00 120.00
Fractional coordinates of all 9 atoms:
Ca 0.333 0.667 0.139
Ca 0.667 0.333 0.861
Al 0.000 0.000 0.000
Ga 0.179 0.357 0.664
Ga 0.179 0.821 0.664
Ga 0.357 0.179 0.336
Ga 0.643 0.821 0.664
Ga 0.821 0.179 0.336
Ga 0.821 0.643 0.336

Values from the calculation:
* E: -29.16 eV/cell
* calculated density: 4.8 g/cm3
* total moment: 0.00 μB per formula unit
* energy of formation: -35 kJ per mole of atoms

***

Computed, not measured: a relaxed Ca2AlGa crystal at the PBE level of DFT.

Lattice parameters (Å, degrees): 4.332 4.332 7.861 105.85 105.85 59.99
Fractional coordinates of all 4 atoms:
Ca 0.000 0.000 0.000
Ca 0.185 0.185 0.558
Al 0.763 0.763 0.292
Ga 0.418 0.418 0.256

Values from the calculation:
* E: -11.89 eV/cell
* distance to the lowest polymorph of the same formula: 0.082 eV/atom
* calculated density: 2.4 g/cm3
* total moment: 0.00 μB per formula unit
* energy of formation: -27 kJ per mole of atoms

***

Computed, not measured: a relaxed Ca2AlGa crystal at the PBE level of DFT.

Lattice parameters (Å, degrees): 5.225 5.225 5.225 60.00 60.00 60.00
Fractional coordinates of all 4 atoms:
Ca 0.250 0.250 0.250
Ca 0.750 0.750 0.750
Al 0.000 0.000 0.000
Ga 0.500 0.500 0.500

Values from the calculation:
* E: -12.00 eV/cell
* distance to the lowest polymorph of the same formula: 0.055 eV/atom
* calculated density: 2.9 g/cm3
* total moment: 0.00 μB per formula unit
* energy of formation: -30 kJ per mole of atoms

***

Computed, not measured: a relaxed CaAl2Ga6 crystal at the PBE level of DFT.

Lattice parameters (Å, degrees): 7.468 7.468 7.468 148.69 121.64 67.73
Fractional coordinates of all 9 atoms:
Ca 0.000 0.000 0.000
Al 0.386 0.886 0.500
Al 0.614 0.114 0.500
Ga 0.011 0.695 0.316
Ga 0.320 0.500 0.820
Ga 0.380 0.695 0.684
Ga 0.620 0.305 0.316
Ga 0.680 0.500 0.180
Ga 0.989 0.305 0.684

Values from the calculation:
* E: -28.71 eV/cell
* distance to the lowest polymorph of the same formula: 0.000 eV/atom
* calculated density: 4.7 g/cm3
* total moment: 0.00 μB per formula unit
* energy of formation: -11 kJ per mole of atoms

***

Computed, not measured: a relaxed CaAl8Ga6 crystal at the PBE level of DFT.

Lattice parameters (Å, degrees): 8.503 8.503 8.503 46.28 46.28 46.28
Fractional coordinates of all 15 atoms:
Ca 0.000 0.000 0.000
Al 0.131 0.646 0.822
Al 0.178 0.869 0.354
Al 0.353 0.353 0.353
Al 0.354 0.178 0.869
Al 0.646 0.822 0.131
Al 0.647 0.647 0.647
Al 0.822 0.131 0.646
Al 0.869 0.354 0.178
Ga 0.017 0.521 0.690
Ga 0.310 0.983 0.479
Ga 0.479 0.310 0.983
Ga 0.521 0.690 0.017
Ga 0.690 0.017 0.521
Ga 0.983 0.479 0.310

Values from the calculation:
* E: -50.18 eV/cell
* calculated density: 3.8 g/cm3
* total moment: 0.00 μB per formula unit
* energy of formation: -1 kJ per mole of atoms

***

Computed, not measured: a relaxed CaGdAlGa crystal at the PBE level of DFT.

Lattice parameters (Å, degrees): 5.173 5.173 5.173 60.00 60.00 60.00
Fractional coordinates of all 4 atoms:
Ca 0.000 0.000 0.000
Gd 0.500 0.500 0.500
Al 0.250 0.250 0.250
Ga 0.750 0.750 0.750

Values from the calculation:
* E: -24.37 eV/cell
* calculated density: 5.0 g/cm3
* total moment: 7.13 μB per formula unit
* energy of formation: -37 kJ per mole of atoms

***

Computed, not measured: a relaxed Ca2Al4Ga3Hg crystal at the PBE level of DFT.

Lattice parameters (Å, degrees): 4.385 4.385 11.013 90.00 90.00 90.00
Fractional coordinates of all 10 atoms:
Ca 0.000 0.500 0.249
Ca 0.500 0.000 0.751
Al 0.000 0.000 0.000
Al 0.000 0.500 0.638
Al 0.500 0.000 0.362
Al 0.500 0.500 0.000
Ga 0.000 0.500 0.866
Ga 0.500 0.000 0.134
Ga 0.500 0.500 0.500
Hg 0.000 0.000 0.500

Values from the calculation:
* E: -31.24 eV/cell
* calculated density: 4.7 g/cm3
* total moment: 0.00 μB per formula unit
* energy of formation: -28 kJ per mole of atoms

***

Computed, not measured: a relaxed Ca2Al4InGa3 crystal at the PBE level of DFT.

Lattice parameters (Å, degrees): 4.414 4.414 11.071 90.00 90.00 90.00
Fractional coordinates of all 10 atoms:
Ca 0.000 0.500 0.244
Ca 0.500 0.000 0.756
Al 0.000 0.000 0.000
Al 0.000 0.500 0.643
Al 0.500 0.000 0.357
Al 0.500 0.500 0.000
In 0.000 0.000 0.500
Ga 0.000 0.500 0.869
Ga 0.500 0.000 0.131
Ga 0.500 0.500 0.500

Values from the calculation:
* E: -33.43 eV/cell
* calculated density: 3.9 g/cm3
* total moment: 0.00 μB per formula unit
* energy of formation: -25 kJ per mole of atoms